{
  "formula": "Np4AlGa12",
  "functional": "GGA-PBE",
  "state": "optimized geometry",
  "dft_energy_ev_per_atom": -5.574,
  "n_ef_per_ev_cell": 33.65,
  "formation_enthalpy_0k_ev_per_atom": -0.172,
  "spacegroup": "Im-3m (229)",
  "cell": [[-4.340, 4.340, 4.340], [4.340, -4.340, 4.340], [4.340, 4.340, -4.340]],
  "species": ["Np", "Np", "Np", "Np", "Al", "Ga", "Ga", "Ga", "Ga", "Ga", "Ga", "Ga", "Ga", "Ga", "Ga", "Ga", "Ga"],
  "frac_coords": [[0.000, 0.000, 0.500], [0.000, 0.500, 0.000], [0.500, 0.000, 0.000], [0.500, 0.500, 0.500], [0.000, 0.000, 0.000], [0.000, 0.303, 0.303], [0.000, 0.697, 0.697], [0.250, 0.500, 0.750], [0.250, 0.750, 0.500], [0.303, 0.000, 0.303], [0.303, 0.303, 0.000], [0.500, 0.250, 0.750], [0.500, 0.750, 0.250], [0.697, 0.000, 0.697], [0.697, 0.697, 0.000], [0.750, 0.250, 0.500], [0.750, 0.500, 0.250]]
}



{
  "formula": "Np3Al2Ga4",
  "functional": "GGA-PBE",
  "state": "optimized geometry",
  "dft_energy_ev_per_atom": -6.638,
  "n_ef_per_ev_cell": 31.18,
  "formation_enthalpy_0k_ev_per_atom": -0.148,
  "spacegroup": "P-1 (2)",
  "cell": [[5.862, 0.000, 0.000], [0.004, 8.133, 0.000], [0.006, 4.031, 7.092]],
  "species": ["Np", "Np", "Np", "Np", "Np", "Np", "Al", "Al", "Al", "Al", "Ga", "Ga", "Ga", "Ga", "Ga", "Ga", "Ga", "Ga"],
  "frac_coords": [[0.207, 0.170, 0.163], [0.209, 0.830, 0.837], [0.279, 0.500, 0.500], [0.721, 0.500, 0.500], [0.791, 0.170, 0.163], [0.793, 0.830, 0.837], [0.000, 0.169, 0.501], [0.000, 0.831, 0.499], [0.500, 0.157, 0.842], [0.500, 0.843, 0.158], [0.000, 0.174, 0.823], [0.000, 0.498, 0.178], [0.000, 0.502, 0.822], [0.000, 0.826, 0.177], [0.500, 0.154, 0.504], [0.500, 0.497, 0.844], [0.500, 0.503, 0.156], [0.500, 0.846, 0.496]]
}



{
  "formula": "NpAlGa2",
  "functional": "GGA-PBE",
  "state": "optimized geometry",
  "dft_energy_ev_per_atom": -5.659,
  "n_ef_per_ev_cell": 5.16,
  "formation_enthalpy_0k_ev_per_atom": 0.026,
  "spacegroup": "Cmmm (65)",
  "cell": [[3.003, -4.560, 0.000], [3.003, 4.560, 0.000], [0.000, 0.000, 2.594]],
  "species": ["Np", "Al", "Ga", "Ga"],
  "frac_coords": [[0.000, 0.000, 0.000], [0.500, 0.500, 0.000], [0.000, 0.500, 0.500], [0.500, 0.000, 0.500]]
}



{
  "formula": "NpAl15Ga4",
  "functional": "GGA-PBE",
  "state": "optimized geometry",
  "dft_energy_ev_per_atom": -3.998,
  "n_ef_per_ev_cell": 14.73,
  "formation_enthalpy_0k_ev_per_atom": 0.061,
  "spacegroup": "P4/mmm (123)",
  "cell": [[4.822, 0.000, 0.000], [0.000, 4.822, 0.000], [0.000, 0.000, 15.241]],
  "species": ["Np", "Al", "Al", "Al", "Al", "Al", "Al", "Al", "Al", "Al", "Al", "Al", "Al", "Al", "Al", "Al", "Ga", "Ga", "Ga", "Ga"],
  "frac_coords": [[0.000, 0.000, 0.000], [0.000, 0.500, 0.121], [0.000, 0.500, 0.308], [0.000, 0.500, 0.500], [0.000, 0.500, 0.692], [0.000, 0.500, 0.879], [0.500, 0.000, 0.121], [0.500, 0.000, 0.308], [0.500, 0.000, 0.500], [0.500, 0.000, 0.692], [0.500, 0.000, 0.879], [0.500, 0.500, 0.000], [0.500, 0.500, 0.221], [0.500, 0.500, 0.406], [0.500, 0.500, 0.594], [0.500, 0.500, 0.779], [0.000, 0.000, 0.205], [0.000, 0.000, 0.401], [0.000, 0.000, 0.599], [0.000, 0.000, 0.795]]
}



{
  "formula": "NpAlGa6",
  "functional": "GGA-PBE",
  "state": "optimized geometry",
  "dft_energy_ev_per_atom": -4.431,
  "n_ef_per_ev_cell": 9.21,
  "formation_enthalpy_0k_ev_per_atom": -0.075,
  "spacegroup": "Cmmm (65)",
  "cell": [[3.250, -4.952, 0.000], [3.250, 4.952, 0.000], [0.000, 0.000, 4.706]],
  "species": ["Np", "Al", "Ga", "Ga", "Ga", "Ga", "Ga", "Ga"],
  "frac_coords": [[0.000, 0.000, 0.000], [0.500, 0.500, 0.000], [0.000, 0.500, 0.000], [0.211, 0.789, 0.500], [0.298, 0.298, 0.500], [0.500, 0.000, 0.000], [0.702, 0.702, 0.500], [0.789, 0.211, 0.500]]
}



{
  "formula": "NpAl2Ga",
  "functional": "GGA-PBE",
  "state": "optimized geometry",
  "dft_energy_ev_per_atom": -5.817,
  "n_ef_per_ev_cell": 4.82,
  "e_above_lowest_polymorph_mev_per_atom": 173,
  "formation_enthalpy_0k_ev_per_atom": 0.046,
  "spacegroup": "P4/mmm (123)",
  "cell": [[2.708, 0.000, 0.000], [0.000, 2.708, 0.000], [0.000, 0.000, 9.350]],
  "species": ["Np", "Al", "Al", "Ga"],
  "frac_coords": [[0.000, 0.000, 0.000], [0.500, 0.500, 0.255], [0.500, 0.500, 0.745], [0.000, 0.000, 0.500]]
}



{
  "formula": "NpAlGa4",
  "functional": "GGA-PBE",
  "state": "optimized geometry",
  "dft_energy_ev_per_atom": -4.648,
  "n_ef_per_ev_cell": 9.98,
  "e_above_lowest_polymorph_mev_per_atom": 212,
  "formation_enthalpy_0k_ev_per_atom": 0.151,
  "spacegroup": "P4/mmm (123)",
  "cell": [[3.805, 0.000, 0.000], [0.000, 3.805, 0.000], [0.000, 0.000, 8.901]],
  "species": ["Np", "Al", "Ga", "Ga", "Ga", "Ga"],
  "frac_coords": [[0.000, 0.000, 0.000], [0.500, 0.500, 0.500], [0.000, 0.500, 0.275], [0.000, 0.500, 0.725], [0.500, 0.000, 0.275], [0.500, 0.000, 0.725]]
}



{
  "formula": "NpAlGaO6",
  "functional": "GGA-PBE",
  "state": "optimized geometry",
  "dft_energy_ev_per_atom": -7.890,
  "n_ef_per_ev_cell": 4.14,
  "e_form_raw_ev_per_fu": -21.55,
  "spacegroup": "P-31c (163)",
  "cell": [[5.126, 0.000, 0.000], [-2.563, 4.439, 0.000], [0.000, 0.000, 8.783]],
  "species": ["Np", "Np", "Al", "Al", "Ga", "Ga", "O", "O", "O", "O", "O", "O", "O", "O", "O", "O", "O", "O"],
  "frac_coords": [[0.333, 0.667, 0.250], [0.667, 0.333, 0.750], [0.333, 0.667, 0.750], [0.667, 0.333, 0.250], [0.000, 0.000, 0.000], [0.000, 0.000, 0.500], [0.021, 0.345, 0.630], [0.021, 0.676, 0.870], [0.324, 0.345, 0.870], [0.324, 0.979, 0.630], [0.345, 0.021, 0.130], [0.345, 0.324, 0.370], [0.655, 0.676, 0.630], [0.655, 0.979, 0.870], [0.676, 0.021, 0.370], [0.676, 0.655, 0.130], [0.979, 0.324, 0.130], [0.979, 0.655, 0.370]]
}